1.
A plane-wave DFT calculation with GGA-PBE was carried out for a geometry-optimized Rb2CdReS4 structure.

Unit cell a=6.820 b=6.820 c=6.820 alpha=112.14 beta=112.14 gamma=104.26
Element x y z (fractional)
Rb  0.000  0.000  0.000
Rb  0.750  0.250  0.500
Cd  0.250  0.750  0.500
Re  0.500  0.500  0.000
S  0.219  0.154  0.650
S  0.431  0.781  0.935
S  0.504  0.569  0.350
S  0.846  0.496  0.065

Computed properties:
magnetization: 1.0 μB per formula unit
SG: I-4
E_tot: -4.5976 eV/atom
raw formation energy: -0.62 eV/atom

=====

2.
A plane-wave DFT calculation with GGA-PBE was carried out for a geometry-optimized KTaRu2 structure.

Unit cell a=9.522 b=9.522 c=9.522 alpha=18.98 beta=18.98 gamma=18.98
Element x y z (fractional)
K  0.000  0.000  0.000
Ta  0.500  0.500  0.500
Ru  0.232  0.232  0.232
Ru  0.768  0.768  0.768

Computed properties:
magnetization: 0.0 μB per formula unit
SG: R-3m
E_tot: -7.4458 eV/atom
polymorph energy (0 for the lowest one): 72 meV per atom

=====

3.
A plane-wave DFT calculation with GGA-PBE was carried out for a geometry-optimized La3Ta4 structure.

Unit cell a=14.590 b=14.590 c=14.590 alpha=166.09 beta=166.09 gamma=19.72
Element x y z (fractional)
La  0.000  0.000  0.000
La  0.304  0.304  0.000
La  0.696  0.696  0.000
Ta  0.122  0.122  0.000
Ta  0.421  0.421  0.000
Ta  0.579  0.579  0.000
Ta  0.878  0.878  0.000

Computed properties:
magnetization: 0.0 μB per formula unit
SG: I4/mmm
E_tot: -8.5604 eV/atom
polymorph energy (0 for the lowest one): 0 meV per atom

=====

4.
A plane-wave DFT calculation with GGA-PBE was carried out for a geometry-optimized CaTb3Nd2Se6 structure.

Unit cell a=9.305 b=9.305 c=8.371 alpha=103.16 beta=103.16 gamma=25.66
Element x y z (fractional)
Ca  0.000  0.000  0.000
Tb  0.000  0.000  0.500
Tb  0.330  0.330  0.170
Tb  0.670  0.670  0.830
Nd  0.329  0.329  0.659
Nd  0.671  0.671  0.341
Se  0.161  0.161  0.590
Se  0.166  0.166  0.074
Se  0.498  0.498  0.250
Se  0.502  0.502  0.750
Se  0.834  0.834  0.926
Se  0.839  0.839  0.410

Computed properties:
magnetization: 0.0 μB per formula unit
SG: C2/m
E_tot: -5.6991 eV/atom
raw formation energy: -1.84 eV/atom

=====

5.
A plane-wave DFT calculation with GGA-PBE was carried out for a geometry-optimized BaEu2Se structure.

Unit cell a=11.569 b=11.569 c=11.569 alpha=20.64 beta=20.64 gamma=20.64
Element x y z (fractional)
Ba  0.000  0.000  0.000
Eu  0.113  0.113  0.113
Eu  0.887  0.887  0.887
Se  0.500  0.500  0.500

Computed properties:
magnetization: 14.4 μB per formula unit
SG: R-3m
E_tot: -7.3249 eV/atom
raw formation energy: -0.84 eV/atom

=====

6.
A plane-wave DFT calculation with GGA-PBE was carried out for a geometry-optimized Be2FeReS structure.

Unit cell a=3.914 b=3.914 c=4.444 alpha=90.00 beta=90.00 gamma=90.00
Element x y z (fractional)
Be  0.000  0.500  0.000
Be  0.500  0.000  0.000
Fe  0.000  0.000  0.500
Re  0.500  0.500  0.500
S  0.500  0.500  0.000

Computed properties:
magnetization: 2.8 μB per formula unit
SG: P4/mmm
E_tot: -5.5268 eV/atom
polymorph energy (0 for the lowest one): 60 meV per atom
raw formation energy: 0.97 eV/atom

=====

7.
A plane-wave DFT calculation with GGA-PBE was carried out for a geometry-optimized Pm2InH structure.

Unit cell a=3.426 b=3.426 c=7.719 alpha=90.00 beta=90.00 gamma=90.00
Element x y z (fractional)
Pm  0.000  0.000  0.216
Pm  0.000  0.000  0.784
In  0.500  0.500  0.500
H  0.500  0.500  0.000

Computed properties:
magnetization: 0.0 μB per formula unit
SG: P4/mmm
E_tot: -4.0422 eV/atom
polymorph energy (0 for the lowest one): 312 meV per atom

=====

8.
A plane-wave DFT calculation with GGA-PBE was carried out for a geometry-optimized CaLaDyMg structure.

Unit cell a=5.692 b=5.692 c=5.692 alpha=60.00 beta=60.00 gamma=60.00
Element x y z (fractional)
Ca  0.000  0.000  0.000
La  0.250  0.250  0.250
Dy  0.750  0.750  0.750
Mg  0.500  0.500  0.500

Computed properties:
magnetization: 0.0 μB per formula unit
SG: F-43m
E_tot: -3.2280 eV/atom

=====

9.
A plane-wave DFT calculation with GGA-PBE was carried out for a geometry-optimized LaYHoSe3 structure.

Unit cell a=8.004 b=4.112 c=10.336 alpha=90.00 beta=103.68 gamma=90.00
Element x y z (fractional)
La  0.185  0.250  0.211
La  0.815  0.750  0.789
Y  0.172  0.250  0.622
Y  0.828  0.750  0.378
Ho  0.333  0.750  0.908
Ho  0.667  0.250  0.092
Se  0.092  0.250  0.889
Se  0.205  0.750  0.441
Se  0.478  0.750  0.191
Se  0.522  0.250  0.809
Se  0.795  0.250  0.559
Se  0.908  0.750  0.111

Computed properties:
magnetization: 0.0 μB per formula unit
SG: P2_1/m
E_tot: -6.0890 eV/atom
raw formation energy: -1.69 eV/atom

=====

10.
A plane-wave DFT calculation with GGA-PBE was carried out for a geometry-optimized NdPuZnCo structure.

Unit cell a=4.973 b=4.973 c=4.973 alpha=60.00 beta=60.00 gamma=60.00
Element x y z (fractional)
Nd  0.000  0.000  0.000
Pu  0.500  0.500  0.500
Zn  0.250  0.250  0.250
Co  0.750  0.750  0.750

Computed properties:
magnetization: 4.8 μB per formula unit
SG: F-43m
E_tot: -6.8609 eV/atom

=====

11.
A plane-wave DFT calculation with GGA-PBE was carried out for a geometry-optimized BaCrRu3 structure.

Unit cell a=4.627 b=4.627 c=4.627 alpha=90.00 beta=90.00 gamma=90.00
Element x y z (fractional)
Ba  0.000  0.000  0.000
Cr  0.500  0.500  0.500
Ru  0.000  0.500  0.500
Ru  0.500  0.000  0.500
Ru  0.500  0.500  0.000

Computed properties:
magnetization: 0.0 μB per formula unit
SG: Pm-3m
E_tot: -7.0326 eV/atom
polymorph energy (0 for the lowest one): 0 meV per atom

=====

12.
A plane-wave DFT calculation with GGA-PBE was carried out for a geometry-optimized NaNbN2F structure.

Unit cell a=4.034 b=4.034 c=3.625 alpha=90.00 beta=90.00 gamma=90.00
Element x y z (fractional)
Na  0.000  0.000  0.000
Nb  0.500  0.500  0.500
N  0.000  0.500  0.000
N  0.500  0.000  0.000
F  0.000  0.000  0.500

Computed properties:
magnetization: 1.1 μB per formula unit
SG: P4/mmm
E_tot: -5.0595 eV/atom
polymorph energy (0 for the lowest one): 1820 meV per atom
raw formation energy: 0.92 eV/atom